(1)
# Gd3H12Rh5, optimized geometry, DFT PBE
data_Gd3H12Rh5
_chemical_formula_sum 'Gd24 H96 Rh40'
_cell_length_a 11.645
_cell_length_b 11.645
_cell_length_c 11.645
_cell_angle_alpha 90.00
_cell_angle_beta 90.00
_cell_angle_gamma 90.00
_symmetry_space_group_name_H-M 'I a -3 d'
_symmetry_Int_Tables_number 230
_symmetry_space_group_name_Hall '-I 4bd 2c 3'
loop_
_atom_site_label
_atom_site_fract_x
_atom_site_fract_y
_atom_site_fract_z
Gd1 0.000 0.250 0.125
H1 0.035 0.052 0.638
Rh1 0.000 0.000 0.000
Rh2 0.000 0.250 0.375
# Spin magnetization, μB/cell: 170.6
# Final energy, eV/atom: -6.33

---

(2)
# BaBi3Os, optimized geometry, DFT PBE
data_BaBi3Os
_chemical_formula_sum 'Ba1 Bi3 Os1'
_cell_length_a 6.087
_cell_length_b 6.087
_cell_length_c 6.087
_cell_angle_alpha 90.00
_cell_angle_beta 90.00
_cell_angle_gamma 90.00
_symmetry_space_group_name_H-M 'P m -3 m'
_symmetry_Int_Tables_number 221
_symmetry_space_group_name_Hall '-P 4 2 3'
loop_
_atom_site_label
_atom_site_fract_x
_atom_site_fract_y
_atom_site_fract_z
Ba1 0.000 0.000 0.000
Bi1 0.000 0.000 0.500
Os1 0.500 0.500 0.500
# Relative energy among the computed polymorphs, meV per atom: 2096
# Spin magnetization, μB/cell: 0.0
# Energy relative to the elements, eV per atom: 2.366

---

(3)
# YMoOs2, optimized geometry, DFT PBE
data_YMoOs2
_chemical_formula_sum 'Y4 Mo4 Os8'
_cell_length_a 6.467
_cell_length_b 6.467
_cell_length_c 6.467
_cell_angle_alpha 90.00
_cell_angle_beta 90.00
_cell_angle_gamma 90.00
_symmetry_space_group_name_H-M 'F -4 3 m'
_symmetry_Int_Tables_number 216
_symmetry_space_group_name_Hall 'F -4 2 3'
loop_
_atom_site_label
_atom_site_fract_x
_atom_site_fract_y
_atom_site_fract_z
Y1 0.000 0.000 0.000
Mo1 0.250 0.250 0.250
Os1 0.000 0.000 0.500
Os2 0.250 0.250 0.750
# Relative energy among the computed polymorphs, meV per atom: 329
# Spin magnetization, μB/cell: 0.0
# Energy relative to the elements, eV per atom: 0.404

---

> Which value of spin magnetization does entry 1 give?

170.6 μB/cell

---

> Among the records above, which one has the highest spin magnetization?

Gd3H12Rh5

---

What did the third record say?
# YMoOs2, optimized geometry, DFT PBE
data_YMoOs2
_chemical_formula_sum 'Y4 Mo4 Os8'
_cell_length_a 6.467
_cell_length_b 6.467
_cell_length_c 6.467
_cell_angle_alpha 90.00
_cell_angle_beta 90.00
_cell_angle_gamma 90.00
_symmetry_space_group_name_H-M 'F -4 3 m'
_symmetry_Int_Tables_number 216
_symmetry_space_group_name_Hall 'F -4 2 3'
loop_
_atom_site_label
_atom_site_fract_x
_atom_site_fract_y
_atom_site_fract_z
Y1 0.000 0.000 0.000
Mo1 0.250 0.250 0.250
Os1 0.000 0.000 0.500
Os2 0.250 0.250 0.750
# Relative energy among the computed polymorphs, meV per atom: 329
# Spin magnetization, μB/cell: 0.0
# Energy relative to the elements, eV per atom: 0.404

---

> Number 2 is which compound?

BaBi3Os